(1)
A plane-wave DFT calculation with GGA-PBE was carried out for crystalline HfZnNO at its relaxed geometry.

Structure (extended XYZ):
```
8
Lattice="3.3448 0.0000 0.0000 0.0000 3.3448 0.0000 0.0000 0.0000 8.0038" Properties=species:S:1:pos:R:3 pbc="T T T"
Hf 0.8362 0.8362 1.2988
Hf 2.5086 2.5086 6.7050
Zn 0.8362 2.5086 4.0019
Zn 2.5086 0.8362 4.0019
N 0.8362 0.8362 5.8406
N 2.5086 2.5086 2.1632
O 0.8362 2.5086 0.0000
O 2.5086 0.8362 0.0000
```

## Properties
* ΔE to the lowest computed polymorph: 0.274 eV per atom

***

(2)
A plane-wave DFT calculation with GGA-PBE was carried out for crystalline RbMgCoMo at its relaxed geometry.

Structure (extended XYZ):
```
4
Lattice="0.0000 3.4424 3.4424 3.4424 0.0000 3.4424 3.4424 3.4424 0.0000" Properties=species:S:1:pos:R:3 pbc="T T T"
Rb 0.0000 0.0000 0.0000
Mg 5.1636 5.1636 5.1636
Co 1.7212 1.7212 1.7212
Mo 3.4424 3.4424 3.4424
```

## Properties
* ΔE to the lowest computed polymorph: 0.051 eV per atom

***

(3)
A plane-wave DFT calculation with GGA-PBE was carried out for crystalline Nd2TmAs3 at its relaxed geometry.

Structure (extended XYZ):
```
6
Lattice="4.2021 0.0000 0.0000 -2.1010 3.6391 0.0000 0.0000 0.0000 10.2779" Properties=species:S:1:pos:R:3 pbc="T T T"
Nd 0.0000 2.4261 3.3705
Nd 2.1010 1.2130 6.9074
Tm 0.0000 0.0000 0.0000
As 0.0000 0.0000 5.1389
As 0.0000 2.4261 8.6814
As 2.1010 1.2130 1.5965
```

***

Computed final energy, in the same sequence as the records: -7.265 -3.599 -6.160 eV/atom.
Computed mass density, in the same sequence as the records: 10.16 5.39 7.21 Mg/m³.